(1)
# LaYRh

A relaxed structure of LaYRh (PBE, the Alexandria database).

CIF file:
```
data_LaYRh
_cell_length_a 6.9770
_cell_length_b 6.9770
_cell_length_c 6.9770
_cell_angle_alpha 90.00
_cell_angle_beta 90.00
_cell_angle_gamma 90.00
_symmetry_space_group_name_H-M 'F -4 3 m'
_symmetry_Int_Tables_number 216
_symmetry_space_group_name_Hall 'F -4 2 3'
loop_
_atom_site_label
_atom_site_type_symbol
_atom_site_fract_x
_atom_site_fract_y
_atom_site_fract_z
_atom_site_occupancy
La1 La 0.0000 0.0000 0.0000 1
Y1 Y 0.0000 0.0000 0.5000 1
Rh1 Rh 0.2500 0.2500 0.2500 1
```

The size of the total moment comes out at 0.000 μB per atom. Its energy above the most stable polymorph in this dataset is 0.20 eV per formula unit. The calculation puts the density of states at the Fermi level at 13.6 states/eV per cell. The calculation puts the energy of formation from the pure elements at -1.47 eV/f.u.



(2)
# LaY2Rh9

A relaxed structure of LaY2Rh9 (PBE, the Alexandria database).

CIF file:
```
data_LaY2Rh9
_cell_length_a 5.3053
_cell_length_b 5.3053
_cell_length_c 26.3500
_cell_angle_alpha 90.00
_cell_angle_beta 90.00
_cell_angle_gamma 120.00
_symmetry_space_group_name_H-M 'R -3 m'
_symmetry_Int_Tables_number 166
_symmetry_space_group_name_Hall '-R 3 2"'
loop_
_atom_site_label
_atom_site_type_symbol
_atom_site_fract_x
_atom_site_fract_y
_atom_site_fract_z
_atom_site_occupancy
La1 La 0.0000 0.0000 0.0000 1
Y1 Y 0.0000 0.0000 0.1395 1
Rh1 Rh 0.0000 0.0000 0.3330 1
Rh2 Rh 0.0000 0.0000 0.5000 1
Rh3 Rh 0.9997 0.4998 0.0834 1
```

The size of the total moment comes out at 0.000 μB per atom. The calculation puts the density of states at the Fermi level at 41.1 states/eV per cell. The calculation puts the energy of formation from the pure elements at -6.77 eV/f.u.



(3)
# LaYRh

A relaxed structure of LaYRh (PBE, the Alexandria database).

CIF file:
```
data_LaYRh
_cell_length_a 6.6071
_cell_length_b 7.0531
_cell_length_c 10.2425
_cell_angle_alpha 90.00
_cell_angle_beta 129.75
_cell_angle_gamma 90.00
_symmetry_space_group_name_H-M 'P 1 21/c 1'
_symmetry_Int_Tables_number 14
_symmetry_space_group_name_Hall '-P 2ybc'
loop_
_atom_site_label
_atom_site_type_symbol
_atom_site_fract_x
_atom_site_fract_y
_atom_site_fract_z
_atom_site_occupancy
La1 La 0.1440 0.0808 0.3846 1
Y1 Y 0.3733 0.5762 0.6159 1
Rh1 Rh 0.3574 0.7472 0.3579 1
```

The size of the total moment comes out at 0.000 μB per atom. Its energy above the most stable polymorph in this dataset is 0.00 eV per formula unit. The calculation puts the density of states at the Fermi level at 9.0 states/eV per cell. The calculation puts the energy of formation from the pure elements at -1.68 eV/f.u.



(4)
# La2YRh

A relaxed structure of La2YRh (PBE, the Alexandria database).

CIF file:
```
data_La2YRh
_cell_length_a 4.3433
_cell_length_b 4.3433
_cell_length_c 11.1903
_cell_angle_alpha 90.00
_cell_angle_beta 90.00
_cell_angle_gamma 90.00
_symmetry_space_group_name_H-M 'I 4/m m m'
_symmetry_Int_Tables_number 139
_symmetry_space_group_name_Hall '-I 4 2'
loop_
_atom_site_label
_atom_site_type_symbol
_atom_site_fract_x
_atom_site_fract_y
_atom_site_fract_z
_atom_site_occupancy
La1 La 0.0000 0.5000 0.2500 1
Y1 Y 0.0000 0.0000 0.0000 1
Rh1 Rh 0.0000 0.0000 0.5000 1
```

The size of the total moment comes out at 0.000 μB per atom. Its energy above the most stable polymorph in this dataset is 1.41 eV per formula unit. The calculation puts the density of states at the Fermi level at 9.9 states/eV per cell. The calculation puts the energy of formation from the pure elements at -0.43 eV/f.u.



(5)
# La2YRh

A relaxed structure of La2YRh (PBE, the Alexandria database).

CIF file:
```
data_La2YRh
_cell_length_a 3.9889
_cell_length_b 3.9889
_cell_length_c 28.3021
_cell_angle_alpha 90.00
_cell_angle_beta 90.00
_cell_angle_gamma 120.00
_symmetry_space_group_name_H-M 'R 3 m'
_symmetry_Int_Tables_number 160
_symmetry_space_group_name_Hall 'R 3 -2"'
loop_
_atom_site_label
_atom_site_type_symbol
_atom_site_fract_x
_atom_site_fract_y
_atom_site_fract_z
_atom_site_occupancy
La1 La 0.0000 0.0000 0.0000 1
La2 La 0.0000 0.0000 0.2134 1
Y1 Y 0.0000 0.0000 0.7729 1
Rh1 Rh 0.0000 0.0000 0.6071 1
```

The size of the total moment comes out at 0.214 μB per atom. Its energy above the most stable polymorph in this dataset is 0.60 eV per formula unit. The calculation puts the density of states at the Fermi level at 14.4 states/eV per cell. The calculation puts the energy of formation from the pure elements at -1.24 eV/f.u.



(6)
# La2YRh

A relaxed structure of La2YRh (PBE, the Alexandria database).

CIF file:
```
data_La2YRh
_cell_length_a 3.9490
_cell_length_b 3.9490
_cell_length_c 28.5204
_cell_angle_alpha 90.00
_cell_angle_beta 90.00
_cell_angle_gamma 120.00
_symmetry_space_group_name_H-M 'R -3 m'
_symmetry_Int_Tables_number 166
_symmetry_space_group_name_Hall '-R 3 2"'
loop_
_atom_site_label
_atom_site_type_symbol
_atom_site_fract_x
_atom_site_fract_y
_atom_site_fract_z
_atom_site_occupancy
La1 La 0.0000 0.0000 0.2269 1
Y1 Y 0.0000 0.0000 0.0000 1
Rh1 Rh 0.0000 0.0000 0.5000 1
```

The size of the total moment comes out at 0.009 μB per atom. Its energy above the most stable polymorph in this dataset is 0.61 eV per formula unit. The calculation puts the density of states at the Fermi level at 21.4 states/eV per cell. The calculation puts the energy of formation from the pure elements at -1.23 eV/f.u.



(7)
# La2YRh2

A relaxed structure of La2YRh2 (PBE, the Alexandria database).

CIF file:
```
data_La2YRh2
_cell_length_a 8.4704
_cell_length_b 8.4704
_cell_length_c 3.3526
_cell_angle_alpha 90.00
_cell_angle_beta 90.00
_cell_angle_gamma 90.00
_symmetry_space_group_name_H-M 'P 4/m b m'
_symmetry_Int_Tables_number 127
_symmetry_space_group_name_Hall '-P 4 2ab'
loop_
_atom_site_label
_atom_site_type_symbol
_atom_site_fract_x
_atom_site_fract_y
_atom_site_fract_z
_atom_site_occupancy
La1 La 0.1365 0.3635 0.0000 1
Y1 Y 0.0000 0.0000 0.0000 1
Rh1 Rh 0.1751 0.6751 0.5000 1
```

The size of the total moment comes out at 0.000 μB per atom. Its energy above the most stable polymorph in this dataset is 1.20 eV per formula unit. The calculation puts the density of states at the Fermi level at 11.3 states/eV per cell. The calculation puts the energy of formation from the pure elements at -2.06 eV/f.u.



(8)
# LaYRh

A relaxed structure of LaYRh (PBE, the Alexandria database).

CIF file:
```
data_LaYRh
_cell_length_a 5.6874
_cell_length_b 4.8092
_cell_length_c 6.4710
_cell_angle_alpha 90.00
_cell_angle_beta 104.67
_cell_angle_gamma 90.00
_symmetry_space_group_name_H-M 'P 1 21/m 1'
_symmetry_Int_Tables_number 11
_symmetry_space_group_name_Hall '-P 2yb'
loop_
_atom_site_label
_atom_site_type_symbol
_atom_site_fract_x
_atom_site_fract_y
_atom_site_fract_z
_atom_site_occupancy
La1 La 0.0778 0.2500 0.2946 1
Y1 Y 0.4797 0.2500 0.8066 1
Rh1 Rh 0.3455 0.7500 0.5745 1
```

The size of the total moment comes out at 0.000 μB per atom. Its energy above the most stable polymorph in this dataset is 0.09 eV per formula unit. The calculation puts the density of states at the Fermi level at 5.3 states/eV per cell. The calculation puts the energy of formation from the pure elements at -1.58 eV/f.u.



(9)
# La2YRh

A relaxed structure of La2YRh (PBE, the Alexandria database).

CIF file:
```
data_La2YRh
_cell_length_a 7.5791
_cell_length_b 7.5791
_cell_length_c 7.5791
_cell_angle_alpha 90.00
_cell_angle_beta 90.00
_cell_angle_gamma 90.00
_symmetry_space_group_name_H-M 'F m -3 m'
_symmetry_Int_Tables_number 225
_symmetry_space_group_name_Hall '-F 4 2 3'
loop_
_atom_site_label
_atom_site_type_symbol
_atom_site_fract_x
_atom_site_fract_y
_atom_site_fract_z
_atom_site_occupancy
La1 La 0.2500 0.2500 0.2500 1
Y1 Y 0.0000 0.0000 0.0000 1
Rh1 Rh 0.0000 0.0000 0.5000 1
```

The size of the total moment comes out at 0.000 μB per atom. Its energy above the most stable polymorph in this dataset is 1.82 eV per formula unit. The calculation puts the density of states at the Fermi level at 34.2 states/eV per cell. The calculation puts the energy of formation from the pure elements at -0.01 eV/f.u.



(10)
# La2YRh

A relaxed structure of La2YRh (PBE, the Alexandria database).

CIF file:
```
data_La2YRh
_cell_length_a 4.3997
_cell_length_b 4.3997
_cell_length_c 11.2184
_cell_angle_alpha 90.00
_cell_angle_beta 90.00
_cell_angle_gamma 90.00
_symmetry_space_group_name_H-M 'I -4 m 2'
_symmetry_Int_Tables_number 119
_symmetry_space_group_name_Hall 'I -4 -2'
loop_
_atom_site_label
_atom_site_type_symbol
_atom_site_fract_x
_atom_site_fract_y
_atom_site_fract_z
_atom_site_occupancy
La1 La 0.0000 0.0000 0.0000 1
La2 La 0.0000 0.5000 0.2500 1
Y1 Y 0.0000 0.0000 0.5000 1
Rh1 Rh 0.0000 0.5000 0.7500 1
```

The size of the total moment comes out at 0.000 μB per atom. Its energy above the most stable polymorph in this dataset is 1.43 eV per formula unit. The calculation puts the density of states at the Fermi level at 7.8 states/eV per cell. The calculation puts the energy of formation from the pure elements at -0.40 eV/f.u.